Cs2TaSnSe4 | the Alexandria database | GGA-PBE | optimized geometry; total moment = 1.09 μB/f.u.; uncorrected formation energy = -758 meV/atom; theoretical density = 4.401 g/cm³
1.0
0.000 7.099 12.474
3.755 0.000 12.474
3.755 7.099 0.000
Cs Ta Sn Se
4 2 2 8
direct
0.051 0.051 0.699 Cs
0.301 0.301 0.949 Cs
0.699 0.699 0.051 Cs
0.949 0.949 0.301 Cs
0.375 0.375 0.375 Ta
0.625 0.625 0.625 Ta
0.125 0.125 0.125 Sn
0.875 0.875 0.875 Sn
0.029 0.616 0.520 Se
0.335 0.520 0.616 Se
0.384 0.971 0.665 Se
0.480 0.665 0.971 Se
0.520 0.335 0.029 Se
0.616 0.029 0.335 Se
0.665 0.480 0.384 Se
0.971 0.384 0.480 Se